## Dy2AlSi2Ru5 (PBE-GGA)

Data for a relaxed structure of Dy2AlSi2Ru5.

abc: 3.232 9.951 9.951
angles: 90.00 90.00 90.00
Atoms (fractional coordinates):
Ru (0.500, 0.433, 0.294)
Ru (0.500, 0.067, 0.794)
Ru (0.500, 0.000, 0.500)
Ru (0.500, 0.933, 0.206)
Ru (0.500, 0.706, 0.433)
Ru (0.500, 0.567, 0.706)
Ru (0.500, 0.794, 0.933)
Ru (0.500, 0.294, 0.567)
Ru (0.500, 0.206, 0.067)
Ru (0.500, 0.500, 0.000)
Si (0.000, 0.372, 0.128)
Si (0.000, 0.128, 0.628)
Si (0.000, 0.628, 0.872)
Si (0.000, 0.872, 0.372)
Dy (0.000, 0.173, 0.327)
Dy (0.000, 0.673, 0.173)
Dy (0.000, 0.827, 0.673)
Dy (0.000, 0.327, 0.827)
Al (0.000, 0.000, 0.000)
Al (0.000, 0.500, 0.500)

Summary:
magnetic moment = 0.00 μB per cell
DFT total energy = -7.69 eV/atom

## La2NdIn6 (PBE-GGA)

Data for a relaxed structure of La2NdIn6.

abc: 3.795 8.741 8.741
angles: 120.00 90.00 90.00
Atoms (fractional coordinates):
La (0.000, 0.667, 0.333)
La (0.000, 0.333, 0.667)
In (0.500, 0.332, 0.000)
In (0.500, 0.668, 0.668)
In (0.500, 0.668, 0.000)
In (0.500, 0.000, 0.332)
In (0.500, 0.332, 0.332)
In (0.500, 0.000, 0.668)
Nd (0.000, 0.000, 0.000)

Summary:
ΔH_f (0 K) = -0.490 eV/atom
magnetic moment = 0.00 μB per cell
DFT total energy = -3.94 eV/atom